DFT (PBE) results for crystalline PmY2Er3S6 at its relaxed geometry.

CIF file:
```
data_PmY2Er3S6
_cell_length_a 6.750
_cell_length_b 11.738
_cell_length_c 6.789
_cell_angle_alpha 90.00
_cell_angle_beta 109.40
_cell_angle_gamma 90.00
_space_group_name_H-M_alt 'C 1 2/m 1'
_space_group_IT_number 12
_space_group_name_Hall '-C 2y'
loop_
_atom_site_label
_atom_site_fract_x
_atom_site_fract_y
_atom_site_fract_z
Pm1 0.000 0.000 0.000
Y1 0.000 0.334 0.000
Er1 0.000 0.164 0.500
Er2 0.000 0.500 0.500
S1 0.244 0.330 0.741
S2 0.246 0.500 0.257
```

Results
total moment = 0.00 Bohr magnetons per cell
uncorrected formation energy = -1.99 eV per atom
density of states at the Fermi level = 10.17 states/eV/cell